(1)
! Li2MnTc, relaxed, DFT GGA-PBE; values from VASP
&SYSTEM
  ibrav = 0, nat = 4, ntyp = 3
/
ATOMIC_SPECIES
Li 6.94 Li.upf
Mn 54.94 Mn.upf
Tc 98.00 Tc.upf
ATOMIC_POSITIONS crystal
Li 0.0000 0.0000 0.0000
Li 0.2359 0.5000 0.7733
Mn 0.7401 0.5000 0.2984
Tc 0.5258 0.0000 0.4718
CELL_PARAMETERS angstrom
2.4709 0.0000 0.0000
0.0000 4.1367 0.0000
-0.6480 0.0000 5.2635
! Total moment = 0.08 μB per atom
! Calculated formation energy = 262 meV/atom
! Offset from the most stable computed form = 60 meV per atom
! Raw total energy = -5.579 eV/atom
! SG = No. 6

***

(2)
! IrC3, relaxed, DFT GGA-PBE; values from VASP
&SYSTEM
  ibrav = 0, nat = 4, ntyp = 2
/
ATOMIC_SPECIES
Ir 192.22 Ir.upf
C 12.01 C.upf
ATOMIC_POSITIONS crystal
Ir 0.0000 0.0000 0.0000
C 0.4259 0.4259 0.5337
C 0.5829 0.5829 0.3710
C 0.8123 0.8123 0.5246
CELL_PARAMETERS angstrom
3.4328 -1.2813 0.0000
3.4328 1.2813 0.0000
-1.5405 0.0000 4.3530
! Total moment = 0.00 μB per atom
! Calculated formation energy = 807 meV/atom
! Offset from the most stable computed form = 91 meV per atom
! Raw total energy = -8.326 eV/atom
! SG = No. 8

***

(3)
! Co3TcGe, relaxed, DFT GGA-PBE; values from VASP
&SYSTEM
  ibrav = 0, nat = 5, ntyp = 3
/
ATOMIC_SPECIES
Co 58.93 Co.upf
Tc 98.00 Tc.upf
Ge 72.64 Ge.upf
ATOMIC_POSITIONS crystal
Co 0.0000 0.0000 0.5000
Co 0.0000 0.5000 0.0000
Co 0.5000 0.0000 0.0000
Tc 0.0000 0.0000 0.0000
Ge 0.5000 0.5000 0.5000
CELL_PARAMETERS angstrom
4.4195 0.0000 0.0000
0.0000 4.4195 0.0000
0.0000 0.0000 4.4195
! Total moment = 0.39 μB per atom
! Calculated formation energy = 1397 meV/atom
! Offset from the most stable computed form = 308 meV per atom
! Raw total energy = -5.863 eV/atom
! SG = No. 221

***

(4)
! ScTaSe3, relaxed, DFT GGA-PBE; values from VASP
&SYSTEM
  ibrav = 0, nat = 5, ntyp = 3
/
ATOMIC_SPECIES
Sc 44.96 Sc.upf
Ta 180.95 Ta.upf
Se 78.96 Se.upf
ATOMIC_POSITIONS crystal
Sc 0.0000 0.0000 0.0000
Ta 0.5000 0.5000 0.5000
Se 0.0000 0.5000 0.5000
Se 0.5000 0.0000 0.5000
Se 0.5000 0.5000 0.0000
CELL_PARAMETERS angstrom
5.0139 0.0000 0.0000
0.0000 5.0139 0.0000
0.0000 0.0000 5.0139
! Total moment = 0.19 μB per atom
! Offset from the most stable computed form = 0 meV per atom
! Formation energy without anion corrections = -1.6 eV/f.u.
! Raw total energy = -6.052 eV/atom
! SG = No. 221

***

(5)
! NaInS2, relaxed, DFT GGA-PBE; values from VASP
&SYSTEM
  ibrav = 0, nat = 4, ntyp = 3
/
ATOMIC_SPECIES
Na 22.99 Na.upf
In 114.82 In.upf
S 32.06 S.upf
ATOMIC_POSITIONS crystal
Na 0.0000 0.0000 0.0000
In 0.2973 0.6981 0.5009
S 0.3447 0.2497 0.2652
S 0.7432 0.6535 0.7372
CELL_PARAMETERS angstrom
3.8948 0.0000 0.0000
1.3196 3.6682 0.0000
1.1401 0.7757 6.6911
! Total moment = 0.00 μB per atom
! Formation energy without anion corrections = -3.3 eV/f.u.
! Raw total energy = -3.906 eV/atom
! SG = No. 1

***

(6)
! Pr2Zn5Pd, relaxed, DFT GGA-PBE; values from VASP
&SYSTEM
  ibrav = 0, nat = 16, ntyp = 3
/
ATOMIC_SPECIES
Pr 140.91 Pr.upf
Zn 65.41 Zn.upf
Pd 106.42 Pd.upf
ATOMIC_POSITIONS crystal
Pr 0.0000 0.0000 0.0000
Pr 0.0000 0.0000 0.5000
Pr 0.1926 0.8074 0.7500
Pr 0.8074 0.1926 0.2500
Zn 0.1890 0.8110 0.1094
Zn 0.1890 0.8110 0.3906
Zn 0.3481 0.6519 0.0189
Zn 0.3481 0.6519 0.4811
Zn 0.3977 0.6023 0.7500
Zn 0.6023 0.3977 0.2500
Zn 0.6519 0.3481 0.5189
Zn 0.6519 0.3481 0.9811
Zn 0.8110 0.1890 0.6094
Zn 0.8110 0.1890 0.8906
Pd 0.4461 0.5539 0.2500
Pd 0.5539 0.4461 0.7500
CELL_PARAMETERS angstrom
2.1717 -8.2430 0.0000
2.1717 8.2430 0.0000
0.0000 0.0000 9.0957
! Total moment = 0.00 μB per atom
! Calculated formation energy = -422 meV/atom
! Raw total energy = -3.062 eV/atom
! SG = No. 63

***

(7)
! ZrFeAu, relaxed, DFT GGA-PBE; values from VASP
&SYSTEM
  ibrav = 0, nat = 3, ntyp = 3
/
ATOMIC_SPECIES
Zr 91.22 Zr.upf
Fe 55.84 Fe.upf
Au 196.97 Au.upf
ATOMIC_POSITIONS crystal
Zr 0.0000 0.0000 0.0000
Fe 0.2500 0.2500 0.2500
Au 0.5000 0.5000 0.5000
CELL_PARAMETERS angstrom
0.0000 3.0663 3.0663
3.0663 0.0000 3.0663
3.0663 3.0663 0.0000
! Total moment = 0.32 μB per atom
! Calculated formation energy = 123 meV/atom
! Raw total energy = -6.640 eV/atom
! SG = No. 216

***

(8)
! Ce2TcSn, relaxed, DFT GGA-PBE; values from VASP
&SYSTEM
  ibrav = 0, nat = 16, ntyp = 3
/
ATOMIC_SPECIES
Ce 140.12 Ce.upf
Tc 98.00 Tc.upf
Sn 118.71 Sn.upf
ATOMIC_POSITIONS crystal
Ce 0.0408 0.2498 0.0780
Ce 0.0408 0.7502 0.5780
Ce 0.3818 0.2488 0.8742
Ce 0.3818 0.7512 0.3742
Ce 0.6182 0.2488 0.6258
Ce 0.6182 0.7512 0.1258
Ce 0.9592 0.2498 0.4220
Ce 0.9592 0.7502 0.9220
Tc 0.0129 0.2496 0.6265
Tc 0.0129 0.7504 0.1265
Tc 0.9871 0.2496 0.8735
Tc 0.9871 0.7504 0.3735
Sn 0.4107 0.2514 0.3476
Sn 0.4107 0.7486 0.8476
Sn 0.5893 0.2514 0.1524
Sn 0.5893 0.7486 0.6524
CELL_PARAMETERS angstrom
6.1144 0.0000 0.0000
0.0000 6.3649 0.0000
-3.3677 0.0000 11.2558
! Total moment = 0.14 μB per atom
! Calculated formation energy = -125 meV/atom
! Offset from the most stable computed form = 193 meV per atom
! Raw total energy = -6.685 eV/atom
! SG = No. 13

***

(9)
! KHf2SbO8, relaxed, DFT GGA-PBE; values from VASP
&SYSTEM
  ibrav = 0, nat = 12, ntyp = 4
/
ATOMIC_SPECIES
K 39.10 K.upf
Hf 178.49 Hf.upf
Sb 121.76 Sb.upf
O 16.00 O.upf
ATOMIC_POSITIONS crystal
K 0.0000 0.0000 0.0000
Hf 0.5000 0.5000 0.2853
Hf 0.5000 0.5000 0.7147
Sb 0.0000 0.0000 0.5000
O 0.2021 0.2021 0.3028
O 0.2021 0.2021 0.6972
O 0.3020 0.6980 0.5000
O 0.3894 0.6106 0.0000
O 0.6106 0.3894 0.0000
O 0.6980 0.3020 0.5000
O 0.7979 0.7979 0.3028
O 0.7979 0.7979 0.6972
CELL_PARAMETERS angstrom
3.3796 -3.4504 0.0000
3.3796 3.4504 0.0000
0.0000 0.0000 7.2886
! Total moment = 0.00 μB per atom
! Formation energy without anion corrections = -26.7 eV/f.u.
! Raw total energy = -7.629 eV/atom
! SG = No. 65

***

> What is the raw total energy in the eighth record?

-6.685 eV/atom

***

> Which value of total moment does entry 9 give?

0.00 μB per atom